## Pm2AlTcN5 (PBE)

Data for Pm2AlTcN5 after structural relaxation.

Unit cell a=3.3216 b=7.0605 c=9.9502 alpha=90.00 beta=90.00 gamma=103.60
Positions (direct):
Tc (0.7750, 0.5501, 0.5124)
Tc (0.2250, 0.4499, 0.0124)
Al (0.5497, 0.0994, 0.9663)
Al (0.4503, 0.9006, 0.4663)
N (0.4958, 0.9916, 0.7927)
N (0.2850, 0.5700, 0.6292)
N (0.5042, 0.0084, 0.2927)
N (0.3108, 0.6215, 0.3768)
N (0.6892, 0.3785, 0.8768)
N (0.6436, 0.2872, 0.5067)
N (0.3564, 0.7128, 0.0067)
N (0.9466, 0.8932, 0.5507)
N (0.7150, 0.4300, 0.1292)
N (0.0534, 0.1068, 0.0507)
Pm (0.1065, 0.2130, 0.6981)
Pm (0.8935, 0.7870, 0.1981)
Pm (0.8703, 0.7406, 0.7911)
Pm (0.1297, 0.2594, 0.2911)

crystal system	orthorhombic
symmetry	Cmc2_1, No. 36
size of the total moment	0.0	μB per formula unit
formation energy (no corrections)	-7.09	eV per formula unit